Entry 1:
This record from Alexandria describes a relaxed structure of TmLuCd. The functional is GGA-PBE.

density of states at the Fermi level: 3.255 states/eV per cell
M_tot: 1.0 μB/cell
ΔE to the lowest computed polymorph: 0.0 meV/atom
V: 80.5 Å³/cell

Unit cell a=6.979 b=6.979 c=6.979 alpha=150.84 beta=150.84 gamma=41.71
Atoms (fractional coordinates):
1 Tm 0.000 0.000 0.000
2 Lu 0.315 0.315 0.000
3 Cd 0.659 0.659 0.000

Entry 2:
This record from Alexandria describes a relaxed structure of TmLuCd. The functional is GGA-PBE.

density of states at the Fermi level: 3.170 states/eV per cell
M_tot: 0.0 μB/cell
ΔE to the lowest computed polymorph: 117.1 meV/atom
V: 80.6 Å³/cell

Unit cell a=5.198 b=5.198 c=3.445 alpha=90.00 beta=90.00 gamma=120.00
Atoms (fractional coordinates):
1 Tm 0.000 0.000 0.000
2 Lu 0.333 0.667 0.553
3 Cd 0.667 0.333 0.296

Entry 3:
This record from Alexandria describes a relaxed structure of Tm2LuCd. The functional is GGA-PBE.

density of states at the Fermi level: 4.817 states/eV per cell
M_tot: 0.0 μB/cell
ΔE to the lowest computed polymorph: 84.2 meV/atom
V: 109.7 Å³/cell

Unit cell a=5.196 b=5.196 c=4.064 alpha=90.00 beta=90.00 gamma=90.00
Atoms (fractional coordinates):
1 Tm 0.000 0.500 0.000
2 Tm 0.500 0.000 0.000
3 Lu 0.000 0.000 0.500
4 Cd 0.500 0.500 0.500

Entry 4:
This record from Alexandria describes a relaxed structure of Tm2LuCd. The functional is GGA-PBE.

density of states at the Fermi level: 4.923 states/eV per cell
M_tot: 0.0 μB/cell
ΔE to the lowest computed polymorph: 120.7 meV/atom
V: 108.9 Å³/cell

Unit cell a=5.360 b=5.360 c=5.360 alpha=60.00 beta=60.00 gamma=60.00
Atoms (fractional coordinates):
1 Tm 0.250 0.250 0.250
2 Tm 0.750 0.750 0.750
3 Lu 0.000 0.000 0.000
4 Cd 0.500 0.500 0.500

Entry 5:
This record from Alexandria describes a relaxed structure of TmLu2Cd. The functional is GGA-PBE.

density of states at the Fermi level: 5.295 states/eV per cell
M_tot: 0.1 μB/cell
ΔE to the lowest computed polymorph: 145.9 meV/atom
V: 108.2 Å³/cell

Unit cell a=5.349 b=5.349 c=5.349 alpha=60.00 beta=60.00 gamma=60.00
Atoms (fractional coordinates):
1 Tm 0.000 0.000 0.000
2 Lu 0.250 0.250 0.250
3 Lu 0.750 0.750 0.750
4 Cd 0.500 0.500 0.500

Entry 6:
This record from Alexandria describes a relaxed structure of TmLuCd4. The functional is GGA-PBE.

density of states at the Fermi level: 5.120 states/eV per cell
M_tot: 0.0 μB/cell
V: 142.0 Å³/cell

Unit cell a=5.856 b=5.856 c=5.856 alpha=60.00 beta=60.00 gamma=60.00
Atoms (fractional coordinates):
1 Tm 0.000 0.000 0.000
2 Lu 0.250 0.250 0.250
3 Cd 0.125 0.625 0.625
4 Cd 0.625 0.125 0.625
5 Cd 0.625 0.625 0.125
6 Cd 0.625 0.625 0.625

Entry 7:
This record from Alexandria describes a relaxed structure of TmLu2Cd. The functional is GGA-PBE.

density of states at the Fermi level: 4.353 states/eV per cell
M_tot: 0.0 μB/cell
ΔE to the lowest computed polymorph: 0.0 meV/atom
V: 109.7 Å³/cell

Unit cell a=3.502 b=3.502 c=8.950 alpha=90.00 beta=90.00 gamma=90.00
Atoms (fractional coordinates):
1 Tm 0.000 0.000 0.000
2 Lu 0.500 0.500 0.270
3 Lu 0.500 0.500 0.730
4 Cd 0.000 0.000 0.500

Entry 8:
This record from Alexandria describes a relaxed structure of TmLuZnCd. The functional is GGA-PBE.

density of states at the Fermi level: 2.553 states/eV per cell
M_tot: 0.0 μB/cell
V: 93.5 Å³/cell

Unit cell a=5.094 b=5.094 c=5.094 alpha=60.00 beta=60.00 gamma=60.00
Atoms (fractional coordinates):
1 Tm 0.000 0.000 0.000
2 Lu 0.500 0.500 0.500
3 Zn 0.750 0.750 0.750
4 Cd 0.250 0.250 0.250

Entry 9:
This record from Alexandria describes a relaxed structure of Lu2UCd. The functional is GGA-PBE.

density of states at the Fermi level: 5.835 states/eV per cell
M_tot: 1.9 μB/cell
V: 99.6 Å³/cell

Unit cell a=3.250 b=3.250 c=9.426 alpha=90.00 beta=90.00 gamma=90.00
Atoms (fractional coordinates):
1 Lu 0.000 0.000 0.243
2 Lu 0.000 0.000 0.757
3 U 0.500 0.500 0.500
4 Cd 0.500 0.500 0.000

Entry 10:
This record from Alexandria describes a relaxed structure of Lu2VCd. The functional is GGA-PBE.

density of states at the Fermi level: 2.434 states/eV per cell
M_tot: 3.6 μB/cell
ΔE to the lowest computed polymorph: 42.9 meV/atom
V: 93.0 Å³/cell

Unit cell a=5.003 b=5.003 c=3.717 alpha=90.00 beta=90.00 gamma=90.00
Atoms (fractional coordinates):
1 Lu 0.000 0.500 0.000
2 Lu 0.500 0.000 0.000
3 V 0.000 0.000 0.500
4 Cd 0.500 0.500 0.500

Entry 11:
This record from Alexandria describes a relaxed structure of Lu2VCd. The functional is GGA-PBE.

density of states at the Fermi level: 2.837 states/eV per cell
M_tot: 3.1 μB/cell
ΔE to the lowest computed polymorph: 0.0 meV/atom
V: 93.0 Å³/cell

Unit cell a=3.552 b=3.552 c=7.372 alpha=90.00 beta=90.00 gamma=90.00
Atoms (fractional coordinates):
1 Lu 0.000 0.000 0.228
2 Lu 0.000 0.000 0.772
3 V 0.500 0.500 0.000
4 Cd 0.500 0.500 0.500

Entry 12:
This record from Alexandria describes a relaxed structure of YLuCd2. The functional is GGA-PBE.

density of states at the Fermi level: 3.059 states/eV per cell
M_tot: 0.0 μB/cell
ΔE to the lowest computed polymorph: 0.0 meV/atom
V: 102.1 Å³/cell

Unit cell a=5.247 b=5.247 c=5.247 alpha=60.00 beta=60.00 gamma=60.00
Atoms (fractional coordinates):
1 Y 0.000 0.000 0.000
2 Lu 0.500 0.500 0.500
3 Cd 0.250 0.250 0.250
4 Cd 0.750 0.750 0.750

Entry 13:
This record from Alexandria describes a relaxed structure of YLuCd2. The functional is GGA-PBE.

density of states at the Fermi level: 3.431 states/eV per cell
M_tot: 0.1 μB/cell
ΔE to the lowest computed polymorph: 1.9 meV/atom
V: 102.1 Å³/cell

Unit cell a=3.695 b=3.695 c=7.478 alpha=90.00 beta=90.00 gamma=90.00
Atoms (fractional coordinates):
1 Y 0.000 0.000 0.000
2 Lu 0.000 0.000 0.500
3 Cd 0.500 0.500 0.260
4 Cd 0.500 0.500 0.740

Entry 14:
This record from Alexandria describes a relaxed structure of YLu2Cd. The functional is GGA-PBE.

density of states at the Fermi level: 4.663 states/eV per cell
M_tot: 0.0 μB/cell
ΔE to the lowest computed polymorph: 55.9 meV/atom
V: 110.1 Å³/cell

Unit cell a=4.792 b=4.792 c=4.797 alpha=90.00 beta=90.00 gamma=90.00
Atoms (fractional coordinates):
1 Y 0.000 0.000 0.000
2 Lu 0.000 0.500 0.500
3 Lu 0.500 0.000 0.500
4 Cd 0.500 0.500 0.000

Entry 15:
This record from Alexandria describes a relaxed structure of YLu2Cd. The functional is GGA-PBE.

density of states at the Fermi level: 4.394 states/eV per cell
M_tot: 0.0 μB/cell
ΔE to the lowest computed polymorph: 0.0 meV/atom
V: 112.2 Å³/cell

Unit cell a=3.534 b=3.534 c=8.981 alpha=90.00 beta=90.00 gamma=90.00
Atoms (fractional coordinates):
1 Y 0.000 0.000 0.000
2 Lu 0.500 0.500 0.275
3 Lu 0.500 0.500 0.725
4 Cd 0.000 0.000 0.500

Entry 16:
This record from Alexandria describes a relaxed structure of YLu2Cd. The functional is GGA-PBE.

density of states at the Fermi level: 5.472 states/eV per cell
M_tot: 0.5 μB/cell
ΔE to the lowest computed polymorph: 178.0 meV/atom
V: 110.4 Å³/cell

Unit cell a=5.385 b=5.385 c=5.385 alpha=60.00 beta=60.00 gamma=60.00
Atoms (fractional coordinates):
1 Y 0.000 0.000 0.000
2 Lu 0.250 0.250 0.250
3 Lu 0.750 0.750 0.750
4 Cd 0.500 0.500 0.500

Entry 17:
This record from Alexandria describes a relaxed structure of YLuZnCd. The functional is GGA-PBE.

density of states at the Fermi level: 3.089 states/eV per cell
M_tot: 0.0 μB/cell
V: 95.7 Å³/cell

Unit cell a=5.134 b=5.134 c=5.134 alpha=60.00 beta=60.00 gamma=60.00
Atoms (fractional coordinates):
1 Y 0.000 0.000 0.000
2 Lu 0.500 0.500 0.500
3 Zn 0.250 0.250 0.250
4 Cd 0.750 0.750 0.750

Entry 18:
This record from Alexandria describes a relaxed structure of LuZn2Cd. The functional is GGA-PBE.

density of states at the Fermi level: 2.365 states/eV per cell
M_tot: 0.0 μB/cell
ΔE to the lowest computed polymorph: 0.0 meV/atom
V: 76.6 Å³/cell

Unit cell a=4.768 b=4.768 c=4.768 alpha=60.00 beta=60.00 gamma=60.00
Atoms (fractional coordinates):
1 Lu 0.000 0.000 0.000
2 Zn 0.250 0.250 0.250
3 Zn 0.750 0.750 0.750
4 Cd 0.500 0.500 0.500

Entry 19:
This record from Alexandria describes a relaxed structure of LuZn2Cd. The functional is GGA-PBE.

density of states at the Fermi level: 1.606 states/eV per cell
M_tot: 0.0 μB/cell
ΔE to the lowest computed polymorph: 97.7 meV/atom
V: 79.7 Å³/cell

Unit cell a=3.352 b=3.352 c=7.090 alpha=90.00 beta=90.00 gamma=90.00
Atoms (fractional coordinates):
1 Lu 0.000 0.000 0.000
2 Zn 0.500 0.500 0.262
3 Zn 0.500 0.500 0.738
4 Cd 0.000 0.000 0.500

Entry 20:
This record from Alexandria describes a relaxed structure of LuZnCd2. The functional is GGA-PBE.

density of states at the Fermi level: 2.098 states/eV per cell
M_tot: 0.0 μB/cell
V: 87.2 Å³/cell

Unit cell a=4.299 b=4.299 c=4.716 alpha=90.00 beta=90.00 gamma=90.00
Atoms (fractional coordinates):
1 Lu 0.000 0.000 0.000
2 Zn 0.500 0.500 0.000
3 Cd 0.000 0.500 0.500
4 Cd 0.500 0.000 0.500

Entry 21:
This record from Alexandria describes a relaxed structure of LuZnCd2. The functional is GGA-PBE.

density of states at the Fermi level: 2.180 states/eV per cell
M_tot: 0.0 μB/cell
V: 84.4 Å³/cell

Unit cell a=4.923 b=4.923 c=4.923 alpha=60.00 beta=60.00 gamma=60.00
Atoms (fractional coordinates):
1 Lu 0.000 0.000 0.000
2 Zn 0.500 0.500 0.500
3 Cd 0.250 0.250 0.250
4 Cd 0.750 0.750 0.750

Entry 22:
This record from Alexandria describes a relaxed structure of LuZnCd2. The functional is GGA-PBE.

density of states at the Fermi level: 2.000 states/eV per cell
M_tot: 0.0 μB/cell
V: 86.7 Å³/cell

Unit cell a=3.438 b=3.438 c=7.332 alpha=90.00 beta=90.00 gamma=90.00
Atoms (fractional coordinates):
1 Lu 0.000 0.000 0.000
2 Zn 0.000 0.000 0.500
3 Cd 0.500 0.500 0.280
4 Cd 0.500 0.500 0.720

Entry 23:
This record from Alexandria describes a relaxed structure of LuZn2Cd. The functional is GGA-PBE.

density of states at the Fermi level: 3.460 states/eV per cell
M_tot: 0.0 μB/cell
ΔE to the lowest computed polymorph: 63.8 meV/atom
V: 80.4 Å³/cell

Unit cell a=4.472 b=4.472 c=4.019 alpha=90.00 beta=90.00 gamma=90.00
Atoms (fractional coordinates):
1 Lu 0.000 0.000 0.000
2 Zn 0.000 0.500 0.500
3 Zn 0.500 0.000 0.500
4 Cd 0.500 0.500 0.000

Entry 24:
This record from Alexandria describes a relaxed structure of Lu2ZnCd. The functional is GGA-PBE.

density of states at the Fermi level: 2.241 states/eV per cell
M_tot: 0.0 μB/cell
ΔE to the lowest computed polymorph: 16.4 meV/atom
V: 92.4 Å³/cell

Unit cell a=5.075 b=5.075 c=5.075 alpha=60.00 beta=60.00 gamma=60.00
Atoms (fractional coordinates):
1 Lu 0.250 0.250 0.250
2 Lu 0.750 0.750 0.750
3 Zn 0.000 0.000 0.000
4 Cd 0.500 0.500 0.500

Entry 25:
This record from Alexandria describes a relaxed structure of Lu2ZnCd. The functional is GGA-PBE.

density of states at the Fermi level: 2.857 states/eV per cell
M_tot: 0.0 μB/cell
ΔE to the lowest computed polymorph: 0.0 meV/atom
V: 91.8 Å³/cell

Unit cell a=3.510 b=3.510 c=7.456 alpha=90.00 beta=90.00 gamma=90.00
Atoms (fractional coordinates):
1 Lu 0.000 0.000 0.231
2 Lu 0.000 0.000 0.769
3 Zn 0.500 0.500 0.000
4 Cd 0.500 0.500 0.500

Entry 26:
This record from Alexandria describes a relaxed structure of LuZrZnCd. The functional is GGA-PBE.

density of states at the Fermi level: 4.718 states/eV per cell
M_tot: 0.0 μB/cell
V: 86.4 Å³/cell

Unit cell a=4.963 b=4.963 c=4.963 alpha=60.00 beta=60.00 gamma=60.00
Atoms (fractional coordinates):
1 Lu 0.000 0.000 0.000
2 Zr 0.500 0.500 0.500
3 Zn 0.750 0.750 0.750
4 Cd 0.250 0.250 0.250

Entry 27:
This record from Alexandria describes a relaxed structure of Mg6Cd5. The functional is GGA-PBE.

density of states at the Fermi level: 2.978 states/eV per cell
M_tot: 0.0 μB/cell
V: 247.6 Å³/cell

Unit cell a=7.485 b=7.485 c=7.420 alpha=90.00 beta=90.00 gamma=143.44
Atoms (fractional coordinates):
1 Mg 0.000 0.000 0.224
2 Mg 0.000 0.000 0.776
3 Mg 0.340 0.660 0.246
4 Mg 0.340 0.660 0.754
5 Mg 0.660 0.340 0.246
6 Mg 0.660 0.340 0.754
7 Cd 0.166 0.834 0.500
8 Cd 0.173 0.827 0.000
9 Cd 0.500 0.500 0.500
10 Cd 0.827 0.173 0.000
11 Cd 0.834 0.166 0.500

Entry 28:
This record from Alexandria describes a relaxed structure of MgCd6. The functional is GGA-PBE.

density of states at the Fermi level: 5.223 states/eV per cell
M_tot: 0.0 μB/cell
ΔE to the lowest computed polymorph: 442.2 meV/atom
V: 258.4 Å³/cell

Unit cell a=6.949 b=6.949 c=6.949 alpha=109.47 beta=109.47 gamma=109.47
Atoms (fractional coordinates):
1 Mg 0.000 0.000 0.000
2 Cd 0.250 0.500 0.750
3 Cd 0.250 0.750 0.500
4 Cd 0.500 0.250 0.750
5 Cd 0.500 0.750 0.250
6 Cd 0.750 0.250 0.500
7 Cd 0.750 0.500 0.250

Entry 29:
This record from Alexandria describes a relaxed structure of Mg2Cd. The functional is GGA-PBE.

density of states at the Fermi level: 1.120 states/eV per cell
M_tot: 0.0 μB/cell
V: 133.3 Å³/cell

Unit cell a=6.174 b=6.174 c=7.301 alpha=103.32 beta=103.32 gamma=29.56
Atoms (fractional coordinates):
1 Mg 0.000 0.000 0.000
2 Mg 0.055 0.055 0.604
3 Mg 0.381 0.381 0.277
4 Mg 0.723 0.723 0.936
5 Cd 0.337 0.337 0.668
6 Cd 0.660 0.660 0.323

Entry 30:
This record from Alexandria describes a relaxed structure of Mg2Cd. The functional is GGA-PBE.

density of states at the Fermi level: 2.471 states/eV per cell
M_tot: 0.0 μB/cell
V: 198.5 Å³/cell

Unit cell a=8.366 b=8.366 c=3.274 alpha=90.00 beta=90.00 gamma=120.00
Atoms (fractional coordinates):
1 Mg 0.000 0.367 0.000
2 Mg 0.000 0.705 0.500
3 Mg 0.295 0.295 0.500
4 Mg 0.367 0.000 0.000
5 Mg 0.633 0.633 0.000
6 Mg 0.705 0.000 0.500
7 Cd 0.000 0.000 0.000
8 Cd 0.333 0.667 0.500
9 Cd 0.667 0.333 0.500

Taking the records one at a time from the top gives calculated formation energy values of -53, -19, -21, -7, 2, -118, -54, -120, 30, 13, -4, -127, -126, -34, -56, 13, -125, -96, -58, -73, -53, -42, -71, -119, -126, -66, -74, 295, -19, -26 kJ/mol of formula units.